1.
ZrPa2Cu: optimized geometry, PBE.

Unit cell a=7.0712 b=7.0712 c=7.0712 alpha=90.00 beta=90.00 gamma=90.00
Space group Fm-3m (No. 225)
Inequivalent atoms, fractional coordinates:
Zr: 0.0000 0.0000 0.0000 [4 per cell]
Pa: 0.2500 0.2500 0.2500 [8 per cell]
Cu: 0.0000 0.0000 0.5000 [4 per cell]

## Properties
Its density of states at the Fermi level is 30.28 states/eV per cell. The size of the total moment is 0.0000 μB per atom.

2.
BeCr2Ag: optimized geometry, PBE.

Unit cell a=2.6038 b=3.9998 c=4.8522 alpha=90.00 beta=96.19 gamma=90.00
Space group P2/m (No. 10)
Inequivalent atoms, fractional coordinates:
Be: 0.0000 0.0000 0.0000 [1 per cell]
Cr: 0.4600 0.5000 0.2043 [2 per cell]
Ag: 0.0000 0.0000 0.5000 [1 per cell]

## Properties
Its density of states at the Fermi level is 2.68 states/eV per cell. The size of the total moment is 0.0001 μB per atom.

3.
Dy5AgSe8: optimized geometry, PBE.

Unit cell a=11.8576 b=11.8576 c=11.8576 alpha=90.00 beta=90.00 gamma=90.00
Space group F-43m (No. 216)
Inequivalent atoms, fractional coordinates:
Dy: 0.0000 0.0000 0.0000 [4 per cell]
Dy: 0.1202 0.1202 0.3798 [16 per cell]
Ag: 0.2500 0.2500 0.7500 [4 per cell]
Se: 0.1184 0.1184 0.6184 [16 per cell]
Se: 0.1335 0.1335 0.1335 [16 per cell]

## Properties
Its density of states at the Fermi level is 0.00 states/eV per cell. The size of the total moment is 0.0000 μB per atom.

no.,DFT total energy (eV per atom)
1,-7.600
2,-6.060
3,-5.488